Record 1
This record from Alexandria describes an optimized crystal structure of Rb4NaCd3F12. The functional is PBE.

Summary:
- DFT total energy (eV/atom) = -3.926
- spin magnetization (μB/atom) = 0.05
- formation energy (no corrections) (kJ/mol of atoms) = -232.21
- calculated volume (A^3/atom) = 18.0
- DOS at the Fermi energy (states/eV per cell) = 9.6

a = 7.7549 Å, b = 7.7549 Å, c = 7.7549 Å
α = 109.47°, β = 109.47°, γ = 109.47°
Last column: nearest neighbours and their distance in Å.
Element x y z (fractional)
Rb1 0.5000 0.5000 0.5000  12 F 3.17
Rb2 0.0000 0.0000 0.5000  12 F 3.17
Rb3 0.5000 0.0000 0.0000  12 F 3.17
Rb4 0.0000 0.5000 0.0000  12 F 3.17
Na1 0.0000 0.0000 0.0000  6 F 2.31
Cd1 0.5000 0.0000 0.5000  6 F 2.16-2.24
Cd2 0.5000 0.5000 0.0000  6 F 2.16-2.24
Cd3 0.0000 0.5000 0.5000  6 F 2.16-2.24
F1 0.2500 0.5000 0.7500  2 Cd 2.24
F2 0.7417 0.0000 0.7417  1 Cd 2.16, 1 Na 2.31
F3 0.2583 0.0000 0.2583  1 Cd 2.16, 1 Na 2.31
F4 0.7500 0.5000 0.2500  2 Cd 2.24
F5 0.7417 0.7417 0.0000  1 Cd 2.16, 1 Na 2.31
F6 0.2583 0.2583 0.0000  1 Cd 2.16, 1 Na 2.31
F7 0.7500 0.2500 0.5000  2 Cd 2.24
F8 0.2500 0.7500 0.5000  2 Cd 2.24
F9 0.5000 0.2500 0.7500  2 Cd 2.24
F10 0.0000 0.7417 0.7417  1 Cd 2.16, 1 Na 2.31
F11 0.5000 0.7500 0.2500  2 Cd 2.24
F12 0.0000 0.2583 0.2583  1 Cd 2.16, 1 Na 2.31


Record 2
This record from Alexandria describes an optimized crystal structure of Li4Er3PaTe8. The functional is PBE.

Summary:
- DFT total energy (eV/atom) = -4.651
- spin magnetization (μB/atom) = 0.11
- formation energy (no corrections) (kJ/mol of atoms) = -111.26
- calculated volume (A^3/atom) = 28.4
- DOS at the Fermi energy (states/eV per cell) = 9.4

a = 8.5993 Å, b = 8.6614 Å, c = 8.5987 Å
α = 119.78°, β = 120.00°, γ = 90.00°
Last column: nearest neighbours and their distance in Å.
Element x y z (fractional)
Li1 0.5000 0.0000 0.0000  6 Te 3.00
Li2 0.5000 0.0000 0.5000  6 Te 3.03-3.04
Li3 0.0000 0.0000 0.0000  6 Te 3.03
Li4 0.0000 0.0000 0.5000  6 Te 3.03-3.04
Er1 0.5000 0.5000 0.0000  6 Te 3.07
Er2 0.5000 0.5000 0.5000  6 Te 3.07
Er3 0.0000 0.5000 0.5000  6 Te 3.07
Pa1 0.0000 0.5000 0.0000  6 Te 3.10
Te1 0.2545 0.7578 0.0036  3 Li 3.00-3.03, 2 Er 3.07, 1 Pa 3.10
Te2 0.2545 0.7578 0.5089  3 Li 3.00-3.03, 2 Er 3.07, 1 Pa 3.10
Te3 0.2486 0.2462 0.4973  3 Li 3.03-3.04, 3 Er 3.07
Te4 0.7491 0.7578 0.0036  3 Li 3.00-3.03, 2 Er 3.07, 1 Pa 3.10
Te5 0.2509 0.2422 0.9964  3 Li 3.00-3.03, 2 Er 3.07, 1 Pa 3.10
Te6 0.7514 0.7538 0.5027  3 Li 3.03-3.04, 3 Er 3.07
Te7 0.7455 0.2422 0.4911  3 Li 3.00-3.03, 2 Er 3.07, 1 Pa 3.10
Te8 0.7455 0.2422 0.9964  3 Li 3.00-3.03, 2 Er 3.07, 1 Pa 3.10


Record 3
This record from Alexandria describes an optimized crystal structure of Pm3Pr2SmTe6. The functional is PBE.

Summary:
- DFT total energy (eV/atom) = -5.363
- spin magnetization (μB/atom) = 0.00
- formation energy (no corrections) (kJ/mol of atoms) = -136.49
- calculated volume (A^3/atom) = 31.9
- DOS at the Fermi energy (states/eV per cell) = 6.4

a = 4.4627 Å, b = 9.0166 Å, c = 10.0159 Å
α = 102.81°, β = 102.87°, γ = 90.00°
Last column: nearest neighbours and their distance in Å.
Element x y z (fractional)
Pm1 0.5000 0.5000 0.0000  6 Te 3.14-3.18
Pm2 0.8311 0.1664 0.6621  6 Te 3.15-3.18
Pm3 0.1689 0.8336 0.3379  6 Te 3.15-3.18
Pr1 0.8326 0.6656 0.6652  6 Te 3.19-3.22
Pr2 0.1674 0.3344 0.3348  6 Te 3.19-3.22
Sm1 0.5000 0.0000 0.0000  6 Te 3.14-3.16
Te1 0.3349 0.9210 0.6698  1 Sm 3.14, 3 Pm 3.16, 2 Pr 3.20
Te2 0.6651 0.5860 0.3303  3 Pm 3.14-3.15, 3 Pr 3.19
Te3 0.6651 0.0790 0.3302  1 Sm 3.14, 3 Pm 3.16, 2 Pr 3.20
Te4 0.9981 0.2477 0.9963  2 Sm 3.16, 3 Pm 3.18, 1 Pr 3.22
Te5 0.0019 0.7523 0.0037  2 Sm 3.16, 3 Pm 3.18, 1 Pr 3.22
Te6 0.3349 0.4140 0.6697  3 Pm 3.14-3.15, 3 Pr 3.19


Record 4
This record from Alexandria describes an optimized crystal structure of TbEr3Hg. The functional is PBE.

Summary:
- DFT total energy (eV/atom) = -3.842
- spin magnetization (μB/atom) = 0.00
- E_form (eV/atom) = -0.118
- calculated volume (A^3/atom) = 29.7
- DOS at the Fermi energy (states/eV per cell) = 11.1

a = 6.6290 Å, b = 6.6290 Å, c = 8.6714 Å
α = 87.85°, β = 119.89°, γ = 113.41°
Last column: nearest neighbours and their distance in Å.
Element x y z (fractional)
Tb1 0.6788 0.0599 0.7387  2 Hg 3.32, 8 Er 3.43-3.64, 1 Tb 3.52
Tb2 0.3212 0.9401 0.2613  2 Hg 3.32, 8 Er 3.43-3.64, 1 Tb 3.52
Er1 0.7294 0.9093 0.1394  2 Hg 3.22, 5 Er 3.43-3.45, 3 Tb 3.43-3.47
Er2 0.2302 0.4100 0.1394  2 Hg 3.22, 5 Er 3.43-3.45, 3 Tb 3.43-3.47
Er3 0.7698 0.5900 0.8606  2 Hg 3.22, 5 Er 3.43-3.45, 3 Tb 3.43-3.47
Er4 0.8194 0.4390 0.2585  2 Hg 3.25-3.26, 7 Er 3.43-3.56
Er5 0.2706 0.0907 0.8606  2 Hg 3.22, 5 Er 3.43-3.45, 3 Tb 3.43-3.47
Er6 0.1806 0.5610 0.7415  2 Hg 3.25-3.26, 7 Er 3.43-3.56
Hg1 0.7542 0.7460 0.5002  6 Er 3.22-3.26, 2 Tb 3.32
Hg2 0.2458 0.2540 0.4998  6 Er 3.22-3.26, 2 Tb 3.32


Record 5
This record from Alexandria describes an optimized crystal structure of Ca2La2Ho. The functional is PBE.

Summary:
- DFT total energy (eV/atom) = -3.656
- spin magnetization (μB/atom) = 0.00
- E_form (eV/atom) = 0.031
- calculated volume (A^3/atom) = 37.5
- DOS at the Fermi energy (states/eV per cell) = 6.5

a = 3.7260 Å, b = 3.7260 Å, c = 15.5959 Å
α = 90.03°, β = 90.03°, γ = 60.00°
Last column: nearest neighbours and their distance in Å.
Element x y z (fractional)
Ca1 0.3335 0.3335 0.6052  9 Ca 3.73-3.92, 3 La 3.92-3.93
Ca2 0.6665 0.6665 0.3948  9 Ca 3.73-3.92, 3 La 3.92-3.93
La1 0.3340 0.3340 0.1842  3 Ho 3.59, 6 La 3.73, 3 Ca 3.92-3.93
La2 0.6660 0.6660 0.8158  3 Ho 3.59, 6 La 3.73, 3 Ca 3.92-3.93
Ho1 0.0000 0.0000 0.0000  6 La 3.59, 6 Ho 3.73


Record 6
This record from Alexandria describes an optimized crystal structure of Cu2PtCl. The functional is PBE.

Summary:
- DFT total energy (eV/atom) = -3.726
- spin magnetization (μB/atom) = 0.00
- polymorph energy (0 for the lowest one) (meV per atom) = 337
- formation energy (no corrections) (kJ/mol of atoms) = 28.37
- calculated volume (A^3/atom) = 14.9
- DOS at the Fermi energy (states/eV per cell) = 2.3

a = 5.2789 Å, b = 5.2789 Å, c = 5.2789 Å
α = 148.19°, β = 129.37°, γ = 61.05°
Last column: nearest neighbours and their distance in Å.
Element x y z (fractional)
Cu1 0.9962 0.9962 0.0000  4 Cu 2.62-2.89, 2 Cl 2.67, 4 Pt 2.68
Cu2 0.7560 0.2560 0.5000  4 Cu 2.62-2.89, 4 Cl 2.68, 2 Pt 2.70
Pt1 0.5055 0.5055 0.0000  6 Cu 2.68-2.70, 2 Cl 2.80, 2 Pt 2.89
Cl1 0.2423 0.7423 0.5000  6 Cu 2.67-2.68, 2 Pt 2.80, 2 Cl 2.89


Record 7
This record from Alexandria describes an optimized crystal structure of Na2AlRe. The functional is PBE.

Summary:
- DFT total energy (eV/atom) = -3.508
- spin magnetization (μB/atom) = 0.48
- E_form (eV/atom) = 1.199
- calculated volume (A^3/atom) = 21.6
- DOS at the Fermi energy (states/eV per cell) = 6.1

a = 8.2229 Å, b = 8.2229 Å, c = 6.3519 Å
α = 49.66°, β = 49.66°, γ = 90.00°
Last column: nearest neighbours and their distance in Å.
Element x y z (fractional)
Re1 0.0000 0.0000 0.0000  2 Al 2.56
Re2 0.7500 0.2500 0.5000  2 Al 2.56
Al1 0.5000 0.5000 0.0000  2 Re 2.56
Al2 0.2500 0.7500 0.5000  2 Re 2.56
Na1 0.6177 0.1250 0.2500  2 Na 2.56
Na2 0.1323 0.6250 0.2500  2 Na 2.56
Na3 0.3750 0.3823 0.7500  2 Na 2.56
Na4 0.8750 0.8677 0.7500  2 Na 2.56


Record 8
This record from Alexandria describes an optimized crystal structure of NdTm2Th. The functional is PBE.

Summary:
- DFT total energy (eV/atom) = -5.271
- spin magnetization (μB/atom) = 0.00
- polymorph energy (0 for the lowest one) (meV per atom) = 0
- E_form (eV/atom) = 0.012
- calculated volume (A^3/atom) = 31.9
- DOS at the Fermi energy (states/eV per cell) = 4.4

a = 3.5796 Å, b = 3.5796 Å, c = 9.9431 Å
α = 90.00°, β = 90.00°, γ = 90.00°
Last column: nearest neighbours and their distance in Å.
Element x y z (fractional)
Tm1 0.0000 0.0000 0.7586  4 Th 3.49, 4 Tm 3.58, 4 Nd 3.61
Tm2 0.0000 0.0000 0.2414  4 Th 3.49, 4 Tm 3.58, 4 Nd 3.61
Nd1 0.5000 0.5000 0.5000  4 Nd 3.58, 8 Tm 3.61
Th1 0.5000 0.5000 0.0000  8 Tm 3.49, 4 Th 3.58


Record 9
This record from Alexandria describes an optimized crystal structure of MoCBr2. The functional is PBE.

Summary:
- DFT total energy (eV/atom) = -3.956
- spin magnetization (μB/atom) = 0.00
- polymorph energy (0 for the lowest one) (meV per atom) = 57
- formation energy (no corrections) (kJ/mol of atoms) = 182.77
- calculated volume (A^3/atom) = 18.2
- DOS at the Fermi energy (states/eV per cell) = 4.5

a = 8.3646 Å, b = 8.3646 Å, c = 8.3646 Å
α = 22.10°, β = 22.10°, γ = 22.10°
Last column: nearest neighbours and their distance in Å.
Element x y z (fractional)
Mo1 0.0000 0.0000 0.0000  2 Br 2.46
C1 0.5000 0.5000 0.5000  6 Br 2.46
Br1 0.8993 0.8993 0.8993  3 C 2.46, 1 Mo 2.46
Br2 0.1007 0.1007 0.1007  3 C 2.46, 1 Mo 2.46


Record 10
This record from Alexandria describes an optimized crystal structure of CeBi2Au2. The functional is PBE.

Summary:
- DFT total energy (eV/atom) = -4.463
- spin magnetization (μB/atom) = 0.13
- E_form (eV/atom) = -0.413
- calculated volume (A^3/atom) = 27.5
- DOS at the Fermi energy (states/eV per cell) = 12.3

a = 4.7354 Å, b = 4.8494 Å, c = 12.1361 Å
α = 80.26°, β = 90.00°, γ = 90.00°
Last column: nearest neighbours and their distance in Å.
Element x y z (fractional)
Ce1 0.7500 0.1808 0.6639  6 Au 3.08-3.15, 4 Bi 3.39-3.41
Ce2 0.2500 0.8192 0.3361  6 Au 3.08-3.15, 4 Bi 3.39-3.41
Bi1 0.7500 0.2882 0.9593  3 Au 2.86-2.99
Bi2 0.2500 0.6696 0.6854  6 Au 3.02-3.32
Bi3 0.2500 0.7118 0.0407  3 Au 2.86-2.99
Bi4 0.7500 0.3304 0.3146  6 Au 3.02-3.32
Au1 0.2500 0.2497 0.4963  4 Ce 3.08-3.10, 4 Bi 3.21-3.32, 4 Au 3.38-3.40
Au2 0.7500 0.8898 0.1619  5 Bi 2.86-3.06, 2 Ce 3.15
Au3 0.2500 0.1102 0.8381  5 Bi 2.86-3.06, 2 Ce 3.15
Au4 0.7500 0.7503 0.5037  4 Ce 3.08-3.10, 4 Bi 3.21-3.32, 4 Au 3.38-3.40


Record 11
This record from Alexandria describes an optimized crystal structure of LiSmPu2Te4. The functional is PBE.

Summary:
- DFT total energy (eV/atom) = -7.128
- spin magnetization (μB/atom) = 0.01
- formation energy (no corrections) (kJ/mol of atoms) = -110.49
- calculated volume (A^3/atom) = 30.7
- DOS at the Fermi energy (states/eV per cell) = 30.6

a = 4.4239 Å, b = 7.7117 Å, c = 7.6404 Å
α = 109.79°, β = 90.00°, γ = 90.00°
Last column: nearest neighbours and their distance in Å.
Element x y z (fractional)
Li1 0.5000 0.5000 0.0000  6 Te 3.08
Sm1 0.0000 0.0000 0.0000  6 Te 3.13
Pu1 0.5000 0.0000 0.5000  6 Te 3.17-3.20
Pu2 0.0000 0.5000 0.5000  6 Te 3.12-3.15
Te1 0.5000 0.2553 0.2464  1 Li 3.08, 3 Pu 3.12-3.20, 2 Sm 3.13
Te2 0.5000 0.7447 0.7536  1 Li 3.08, 3 Pu 3.12-3.20, 2 Sm 3.13
Te3 0.0000 0.2568 0.7588  2 Li 3.08, 1 Sm 3.13, 3 Pu 3.15-3.17
Te4 0.0000 0.7432 0.2412  2 Li 3.08, 1 Sm 3.13, 3 Pu 3.15-3.17


Record 12
This record from Alexandria describes an optimized crystal structure of Cr2CoRh4. The functional is PBE.

Summary:
- DFT total energy (eV/atom) = -7.957
- spin magnetization (μB/atom) = 0.06
- E_form (eV/atom) = 0.008
- calculated volume (A^3/atom) = 13.3
- DOS at the Fermi energy (states/eV per cell) = 18.3

a = 6.4957 Å, b = 6.6747 Å, c = 6.5084 Å
α = 138.20°, β = 91.06°, γ = 94.33°
Last column: nearest neighbours and their distance in Å.
Element x y z (fractional)
Cr1 0.6450 0.4561 0.7404  1 Cr 2.33, 6 Rh 2.48-2.58
Cr2 0.6867 0.8764 0.2797  2 Cr 2.33-2.42, 4 Rh 2.49-2.59
Cr3 0.5109 0.4645 0.2946  5 Rh 2.42-2.65, 2 Co 2.50-2.55
Cr4 0.0332 0.0464 0.5406  1 Cr 2.42, 3 Rh 2.42-2.61, 2 Co 2.58
Co1 0.1647 0.6616 0.4963  2 Co 2.34-2.36, 2 Cr 2.55-2.58, 1 Rh 2.61
Co2 0.1619 0.1608 0.0002  2 Co 2.34-2.36, 2 Cr 2.50-2.58, 5 Rh 2.60-2.62
Rh1 0.8485 0.2505 0.3095  3 Cr 2.48-2.74, 2 Co 2.66-2.70, 5 Rh 2.69-2.77
Rh2 0.3102 0.6004 0.0797  3 Cr 2.55-2.80, 5 Rh 2.62-2.77, 2 Co 2.63-2.66
Rh3 0.0134 0.7265 0.9264  3 Cr 2.54-2.80, 5 Rh 2.62-2.77, 2 Co 2.65-2.71
Rh4 0.8013 0.8400 0.6778  2 Cr 2.42-2.56, 2 Co 2.61, 2 Rh 2.64-2.70
Rh5 0.2827 0.2699 0.4641  3 Cr 2.42-2.65, 2 Co 2.61-2.64, 1 Rh 2.68
Rh6 0.4649 0.0769 0.6951  3 Cr 2.49-2.61, 2 Co 2.60-2.63, 4 Rh 2.66-2.75
Rh7 0.4593 0.8791 0.9355  3 Cr 2.50-2.67, 2 Co 2.62-2.67, 5 Rh 2.68-2.80
Rh8 0.8673 0.4409 0.0600  5 Cr 2.50-2.77, 2 Co 2.61-2.66, 4 Rh 2.70-2.78


Q: Which value of calculated volume does entry 1 give?
A: 18.0 A^3/atom